Material: SrCe3Tl4
Method: DFT, PBE
State: optimized geometry

Crystal system: tetragonal
ΔE_f in eV per atom: -0.25
Electronic total energy in eV per atom: -3.87
Space-group type: P4/mmm
Spin magnetization in μB/f.u.: 3.92

abc: 4.0436 4.0436 15.0628
angles: 90.00 90.00 90.00
Closest atoms and distances in Å follow each position.
Element x y z (fractional)
Tl 0.0000 0.0000 0.3829  8 Ce 3.36, 2 Tl 3.53-3.65
Tl 0.0000 0.0000 0.6171  8 Ce 3.36, 2 Tl 3.53-3.65
Tl 0.0000 0.0000 0.1409  4 Ce 3.43, 4 Sr 3.56, 1 Tl 3.65
Tl 0.0000 0.0000 0.8591  4 Ce 3.43, 4 Sr 3.56, 1 Tl 3.65
Ce 0.5000 0.5000 0.2663  8 Tl 3.36-3.43, 1 Ce 3.52
Ce 0.5000 0.5000 0.5000  8 Tl 3.36, 2 Ce 3.52
Ce 0.5000 0.5000 0.7337  8 Tl 3.36-3.43, 1 Ce 3.52
Sr 0.5000 0.5000 0.0000  8 Tl 3.56

***

Material: SrCeTl4
Method: DFT, PBE
State: optimized geometry

Crystal system: cubic
ΔE_f in eV per atom: -0.11
Electronic total energy in eV per atom: -2.96
Space-group type: F-43m
Spin magnetization in μB/f.u.: 1.64

abc: 6.4019 6.4019 6.4019
angles: 60.00 60.00 60.00
Closest atoms and distances in Å follow each position.
Element x y z (fractional)
Tl 0.6255 0.6255 0.1235  6 Tl 3.19-3.21
Tl 0.6255 0.1235 0.6255  6 Tl 3.19-3.21
Tl 0.6255 0.6255 0.6255  6 Tl 3.19-3.21
Tl 0.1235 0.6255 0.6255  6 Tl 3.19-3.21
Sr 0.2500 0.2500 0.2500  12 Tl 3.75, 4 Ce 3.92
Ce 0.0000 0.0000 0.0000  12 Tl 3.75, 4 Sr 3.92

***

Material: SrCeTl6
Method: DFT, PBE
State: optimized geometry

Crystal system: tetragonal
ΔE_f in eV per atom: -0.24
Electronic total energy in eV per atom: -2.97
Space-group type: P4/mmm
Spin magnetization in μB/f.u.: 0.92

abc: 4.8966 4.8966 9.8646
angles: 90.00 90.00 90.00
Closest atoms and distances in Å follow each position.
Element x y z (fractional)
Tl 0.5000 0.0000 0.7430  8 Tl 3.43-3.52, 2 Ce 3.43, 2 Sr 3.52
Tl 0.5000 0.5000 0.5000  8 Tl 3.43, 4 Ce 3.46
Tl 0.5000 0.5000 0.0000  4 Sr 3.46, 8 Tl 3.52
Tl 0.0000 0.5000 0.2570  8 Tl 3.43-3.52, 2 Ce 3.43, 2 Sr 3.52
Tl 0.5000 0.0000 0.2570  8 Tl 3.43-3.52, 2 Ce 3.43, 2 Sr 3.52
Tl 0.0000 0.5000 0.7430  8 Tl 3.43-3.52, 2 Ce 3.43, 2 Sr 3.52
Ce 0.0000 0.0000 0.5000  12 Tl 3.43-3.46
Sr 0.0000 0.0000 0.0000  12 Tl 3.46-3.52

***

| no. | volume (A^3/atom) |
| --- | --- |
| 1 | 30.8 |
| 2 | 30.9 |
| 3 | 29.6 |